First-principles (PBE) data for Tm2ScMo2C4 after structural relaxation, as listed in the Alexandria database.

Geometry as extended XYZ:
```
9
Lattice="6.590 -1.699 0.000 6.590 1.699 0.000 -1.905 0.000 5.550" Properties=species:S:1:pos:R:3 pbc="T T T"
Tm 1.653 0.000 0.146
Tm 9.622 0.000 5.404
Sc -0.952 0.000 2.775
Mo 3.366 0.000 2.802
Mo 7.908 0.000 2.748
C 1.564 0.000 4.015
C 4.847 0.000 4.197
C 6.427 0.000 1.353
C 9.710 0.000 1.534
```

Calculated values
symmetry: C2/m, No. 12
total energy: -74.84 eV/cell

***

First-principles (PBE) data for Sc2UMo2C4 after structural relaxation, as listed in the Alexandria database.

Geometry as extended XYZ:
```
9
Lattice="6.644 -1.607 0.000 6.644 1.607 0.000 -2.033 0.000 5.467" Properties=species:S:1:pos:R:3 pbc="T T T"
Sc 1.891 0.000 0.181
Sc 9.364 0.000 5.286
U -1.017 0.000 2.734
Mo 3.347 0.000 2.816
Mo 7.908 0.000 2.651
C 1.533 0.000 4.081
C 4.724 0.000 4.765
C 6.532 0.000 0.702
C 9.722 0.000 1.386
```

Calculated values
symmetry: C2/m, No. 12
total energy: -83.37 eV/cell